1.
{"formula": "Rb2Na2Bi", "functional": "PBE-GGA", "state": "optimized geometry", "formation_enthalpy_0k_ev_per_atom": -0.17, "n_ef_per_ev_cell": 5.9, "sg": "P4/mbm, No. 127", "e_above_lowest_polymorph_mev_per_atom": 69, "lattice_angstrom": [[-5.725, -5.626, 2.608], [0.608, -4.042, -7.384], [4.668, -3.647, 2.380]], "species": ["Na", "Na", "Na", "Na", "Rb", "Rb", "Rb", "Rb", "Bi", "Bi"], "fractional_positions": [[0.347, 0.847, 0.000], [0.153, 0.347, 0.000], [0.653, 0.153, 0.000], [0.847, 0.653, 0.000], [0.199, 0.699, 0.500], [0.301, 0.199, 0.500], [0.699, 0.801, 0.500], [0.801, 0.301, 0.500], [0.500, 0.500, 0.000], [0.000, 0.000, 0.000]]}


2.
{"formula": "Pa3Ge3Pd", "functional": "PBE-GGA", "state": "optimized geometry", "formation_enthalpy_0k_ev_per_atom": -0.38, "n_ef_per_ev_cell": 19.2, "sg": "C2/m, No. 12", "lattice_angstrom": [[6.408, 0.775, 0.133], [-2.161, 6.082, 0.133], [-0.533, -0.861, 7.586]], "species": ["Pa", "Pa", "Pa", "Pa", "Pa", "Pa", "Ge", "Ge", "Ge", "Ge", "Ge", "Ge", "Pd", "Pd"], "fractional_positions": [[0.602, 0.602, 0.371], [0.398, 0.398, 0.629], [0.815, 0.185, 0.500], [0.239, 0.761, 0.000], [0.185, 0.815, 0.500], [0.761, 0.239, 0.000], [0.124, 0.426, 0.272], [0.876, 0.574, 0.728], [0.066, 0.066, 0.795], [0.934, 0.934, 0.205], [0.574, 0.876, 0.728], [0.426, 0.124, 0.272], [0.330, 0.330, 0.001], [0.670, 0.670, 0.999]]}


3.
{"formula": "Pa4SnPdN8", "functional": "PBE-GGA", "state": "optimized geometry", "e_form_raw_ev_per_atom": -1.0138, "sg": "R3m, No. 160", "lattice_angstrom": [[-2.631, 4.417, 5.001], [-6.906, -0.430, 1.890], [-2.034, -1.898, 5.749]], "species": ["Pa", "Pa", "Pa", "Pa", "N", "N", "N", "N", "N", "N", "N", "N", "Sn", "Pd"], "fractional_positions": [[0.589, 0.589, 0.232], [0.995, 0.995, 0.509], [0.995, 0.501, 0.509], [0.501, 0.995, 0.509], [0.752, 0.752, 0.743], [0.753, 0.753, 0.274], [0.753, 0.220, 0.274], [0.240, 0.240, 0.280], [0.282, 0.282, 0.683], [0.282, 0.754, 0.683], [0.220, 0.753, 0.274], [0.754, 0.282, 0.683], [0.380, 0.380, 0.861], [0.004, 0.004, 0.988]]}


4.
{"formula": "BeVAs3", "functional": "PBE-GGA", "state": "optimized geometry", "formation_enthalpy_0k_ev_per_atom": 0.63, "n_ef_per_ev_cell": 5.5, "sg": "Pm-3m, No. 221", "e_above_lowest_polymorph_mev_per_atom": 0, "lattice_angstrom": [[-0.163, -4.471, 0.200], [1.551, 0.131, 4.199], [-4.198, 0.222, 1.544]], "species": ["As", "As", "As", "V", "Be"], "fractional_positions": [[0.000, 0.500, 0.000], [0.500, 0.000, 0.000], [0.000, 0.000, 0.500], [0.500, 0.500, 0.500], [0.000, 0.000, 0.000]]}